Entry w
Below is a geometry-optimized Sr2InGe3 structure, with properties calculated at the GGA-PBE level.

Cell and atoms, written as CIF:
```
data_Sr2InGe3
_symmetry_space_group_name_H-M 'P 1'
_symmetry_Int_Tables_number 1
_symmetry_space_group_name_Hall 'P 1'
_cell_length_a 8.9294
_cell_length_b 8.8568
_cell_length_c 6.6595
_cell_angle_alpha 68.59
_cell_angle_beta 67.43
_cell_angle_gamma 43.97
loop_
_atom_site_label
_atom_site_type_symbol
_atom_site_fract_x
_atom_site_fract_y
_atom_site_fract_z
Sr1 Sr 0.2416 0.7584 0.7584
Sr2 Sr 0.2500 0.2500 0.2500
Sr3 Sr 0.7500 0.7500 0.7500
Sr4 Sr 0.7584 0.2416 0.2416
In1 In 0.3356 0.3356 0.6644
In2 In 0.6644 0.6644 0.3356
Ge1 Ge 0.1572 0.1572 0.8428
Ge2 Ge 0.1632 0.6691 0.3309
Ge3 Ge 0.3309 0.8368 0.1632
Ge4 Ge 0.6691 0.1632 0.8368
Ge5 Ge 0.8368 0.3309 0.6691
Ge6 Ge 0.8428 0.8428 0.1572
```

## Properties
The total magnetization comes out at 0.000 μB per atom.


Entry x
Below is a geometry-optimized Sr2InGe3 structure, with properties calculated at the GGA-PBE level.

Cell and atoms, written as CIF:
```
data_Sr2InGe3
_symmetry_space_group_name_H-M 'P 1'
_symmetry_Int_Tables_number 1
_symmetry_space_group_name_Hall 'P 1'
_cell_length_a 7.3191
_cell_length_b 4.5713
_cell_length_c 19.8089
_cell_angle_alpha 90.00
_cell_angle_beta 90.00
_cell_angle_gamma 90.00
loop_
_atom_site_label
_atom_site_type_symbol
_atom_site_fract_x
_atom_site_fract_y
_atom_site_fract_z
Sr1 Sr 0.1682 0.2500 0.0816
Sr2 Sr 0.2024 0.2500 0.3017
Sr3 Sr 0.2976 0.7500 0.8017
Sr4 Sr 0.3318 0.7500 0.5816
Sr5 Sr 0.6682 0.2500 0.4184
Sr6 Sr 0.7024 0.2500 0.1983
Sr7 Sr 0.7976 0.7500 0.6983
Sr8 Sr 0.8318 0.7500 0.9184
In1 In 0.0411 0.7500 0.4347
In2 In 0.4589 0.2500 0.9347
In3 In 0.5411 0.7500 0.0653
In4 In 0.9589 0.2500 0.5653
Ge1 Ge 0.0304 0.7500 0.1908
Ge2 Ge 0.1244 0.2500 0.6945
Ge3 Ge 0.2434 0.2500 0.4655
Ge4 Ge 0.2566 0.7500 0.9655
Ge5 Ge 0.3756 0.7500 0.1945
Ge6 Ge 0.4696 0.2500 0.6908
Ge7 Ge 0.5304 0.7500 0.3092
Ge8 Ge 0.6244 0.2500 0.8055
Ge9 Ge 0.7434 0.2500 0.0345
Ge10 Ge 0.7566 0.7500 0.5345
Ge11 Ge 0.8756 0.7500 0.3055
Ge12 Ge 0.9696 0.2500 0.8092
```

## Properties
The total magnetization comes out at 0.000 μB per atom.


Question: of the structures shown, which is the least stable? Reply: entry w.